Entry 1:
# TmSiTc (PBE, relaxed)
data_TmSiTc
_chemical_formula_sum 'Tm2 Si2 Tc2'
_cell_length_a 3.9685
_cell_length_b 3.9685
_cell_length_c 7.0857
_cell_angle_alpha 90.00
_cell_angle_beta 90.00
_cell_angle_gamma 90.00
_symmetry_space_group_name_H-M 'P 4/n m m'
_symmetry_Int_Tables_number 129
loop_
_symmetry_equiv_pos_as_xyz
'x,y,z'
'-x,-y,-z'
'-y+1/2,x,z'
'y+1/2,-x,-z'
'-x+1/2,-y+1/2,z'
'x+1/2,y+1/2,-z'
'y,-x+1/2,z'
'-y,x+1/2,-z'
'x+1/2,-y,-z'
'-x+1/2,y,z'
'-y,-x,-z'
'y,x,z'
'-x,y+1/2,-z'
'x,-y+1/2,z'
'y+1/2,x+1/2,-z'
'-y+1/2,-x+1/2,z'
loop_
_atom_site_label
_atom_site_fract_x
_atom_site_fract_y
_atom_site_fract_z
Tm1 0.2500 0.2500 0.1576
Si1 0.2500 0.2500 0.7201
Tc1 0.2500 0.7500 0.5000
# size of the total moment = 0.0 μB/f.u.
# relative energy among the computed polymorphs = 54 meV per atom
# energy = -44.10 eV per cell
# formation energy without anion corrections = -595.9 meV/atom
# mass density = 8.8 g cm⁻³

=====

Entry 2:
# TmSiTc2 (PBE, relaxed)
data_TmSiTc2
_chemical_formula_sum 'Tm2 Si2 Tc4'
_cell_length_a 4.2649
_cell_length_b 5.7155
_cell_length_c 6.0104
_cell_angle_alpha 90.00
_cell_angle_beta 90.00
_cell_angle_gamma 90.00
_symmetry_space_group_name_H-M 'P m m n'
_symmetry_Int_Tables_number 59
loop_
_symmetry_equiv_pos_as_xyz
'x,y,z'
'-x,-y,-z'
'-x+1/2,-y+1/2,z'
'x+1/2,y+1/2,-z'
'x+1/2,-y,-z'
'-x+1/2,y,z'
'-x,y+1/2,-z'
'x,-y+1/2,z'
loop_
_atom_site_label
_atom_site_fract_x
_atom_site_fract_y
_atom_site_fract_z
Tm1 0.2500 0.2500 0.0955
Si1 0.2500 0.7500 0.2507
Tc1 0.2500 0.0342 0.5955
# size of the total moment = 0.0 μB/f.u.
# energy = -63.86 eV per cell
# formation energy without anion corrections = -325.4 meV/atom
# mass density = 8.9 g cm⁻³

=====

Entry 3:
# TmSi2Tc2 (PBE, relaxed)
data_TmSi2Tc2
_chemical_formula_sum 'Tm8 Si16 Tc16'
_cell_length_a 5.3790
_cell_length_b 9.9771
_cell_length_c 13.4316
_cell_angle_alpha 90.00
_cell_angle_beta 90.00
_cell_angle_gamma 90.00
_symmetry_space_group_name_H-M 'F d d d'
_symmetry_Int_Tables_number 70
loop_
_symmetry_equiv_pos_as_xyz
'x,y,z'
'-x,-y,-z'
'-x+1/4,-y+1/4,z'
'x+1/4,y+1/4,-z'
'x,-y+1/4,-z+1/4'
'-x,y+1/4,z+1/4'
'-x+1/4,y,-z+1/4'
'x+1/4,-y,z+1/4'
'x,y+1/2,z+1/2'
'-x,-y+1/2,-z+1/2'
'-x+1/4,-y+3/4,z+1/2'
'x+1/4,y+3/4,-z+1/2'
'x,-y+3/4,-z+3/4'
'-x,y+3/4,z+3/4'
'-x+1/4,y+1/2,-z+3/4'
'x+1/4,-y+1/2,z+3/4'
'x+1/2,y,z+1/2'
'-x+1/2,-y,-z+1/2'
'-x+3/4,-y+1/4,z+1/2'
'x+3/4,y+1/4,-z+1/2'
'x+1/2,-y+1/4,-z+3/4'
'-x+1/2,y+1/4,z+3/4'
'-x+3/4,y,-z+3/4'
'x+3/4,-y,z+3/4'
'x+1/2,y+1/2,z'
'-x+1/2,-y+1/2,-z'
'-x+3/4,-y+3/4,z'
'x+3/4,y+3/4,-z'
'x+1/2,-y+3/4,-z+1/4'
'-x+1/2,y+3/4,z+1/4'
'-x+3/4,y+1/2,-z+1/4'
'x+3/4,-y+1/2,z+1/4'
loop_
_atom_site_label
_atom_site_fract_x
_atom_site_fract_y
_atom_site_fract_z
Tm1 0.1250 0.1250 0.1250
Si1 0.1250 0.3172 0.6250
Tc1 0.1250 0.1250 0.5127
# size of the total moment = 0.0 μB/f.u.
# relative energy among the computed polymorphs = 125 meV per atom
# energy = -308.10 eV per cell
# formation energy without anion corrections = -492.6 meV/atom
# mass density = 7.8 g cm⁻³

=====

Entry 4:
# TmSi2Tc (PBE, relaxed)
data_TmSi2Tc
_chemical_formula_sum 'Tm1 Si2 Tc1'
_cell_length_a 3.1196
_cell_length_b 3.1196
_cell_length_c 6.7374
_cell_angle_alpha 90.00
_cell_angle_beta 90.00
_cell_angle_gamma 90.00
_symmetry_space_group_name_H-M 'P 4/m m m'
_symmetry_Int_Tables_number 123
_symmetry_space_group_name_Hall '-P 4 2'
loop_
_atom_site_label
_atom_site_fract_x
_atom_site_fract_y
_atom_site_fract_z
Tm1 0.0000 0.0000 0.0000
Si1 0.5000 0.5000 0.3043
Tc1 0.0000 0.0000 0.5000
# size of the total moment = 0.0 μB/f.u.
# relative energy among the computed polymorphs = 201 meV per atom
# energy = -27.60 eV per cell
# formation energy without anion corrections = -478.5 meV/atom
# mass density = 8.2 g cm⁻³

=====

Question: Which of these has the highest mass density?
Answer: TmSiTc2

=====

Repeat the first record exactly.
# TmSiTc (PBE, relaxed)
data_TmSiTc
_chemical_formula_sum 'Tm2 Si2 Tc2'
_cell_length_a 3.9685
_cell_length_b 3.9685
_cell_length_c 7.0857
_cell_angle_alpha 90.00
_cell_angle_beta 90.00
_cell_angle_gamma 90.00
_symmetry_space_group_name_H-M 'P 4/n m m'
_symmetry_Int_Tables_number 129
loop_
_symmetry_equiv_pos_as_xyz
'x,y,z'
'-x,-y,-z'
'-y+1/2,x,z'
'y+1/2,-x,-z'
'-x+1/2,-y+1/2,z'
'x+1/2,y+1/2,-z'
'y,-x+1/2,z'
'-y,x+1/2,-z'
'x+1/2,-y,-z'
'-x+1/2,y,z'
'-y,-x,-z'
'y,x,z'
'-x,y+1/2,-z'
'x,-y+1/2,z'
'y+1/2,x+1/2,-z'
'-y+1/2,-x+1/2,z'
loop_
_atom_site_label
_atom_site_fract_x
_atom_site_fract_y
_atom_site_fract_z
Tm1 0.2500 0.2500 0.1576
Si1 0.2500 0.2500 0.7201
Tc1 0.2500 0.7500 0.5000
# size of the total moment = 0.0 μB/f.u.
# relative energy among the computed polymorphs = 54 meV per atom
# energy = -44.10 eV per cell
# formation energy without anion corrections = -595.9 meV/atom
# mass density = 8.8 g cm⁻³